No. 1
The following is a PBE-GGA calculation of a relaxed ZrBW2 crystal, from Alexandria via LeMat-Bulk.

Calculated formation energy ... 0.7576 eV/atom
Size of the total moment ... 0.00 Bohr magnetons per cell
Space group ... I-42d (122)

abc: 9.9578 9.9578 9.9578
angles: 158.57 158.57 30.48
With the nearest neighbours (Å) after each atom.
Fractional coordinates of all 8 atoms:
1 Zr 0.0000 0.0000 0.0000  4 B 2.62, 4 W 2.76
2 Zr 0.7500 0.2500 0.5000  4 B 2.62, 4 W 2.76
3 B 0.2500 0.7500 0.5000  4 Zr 2.62, 4 W 2.72
4 B 0.5000 0.5000 0.0000  4 Zr 2.62, 4 W 2.72
5 W 0.1417 0.6250 0.0167  4 W 2.53-2.71, 2 B 2.72, 2 Zr 2.76
6 W 0.3750 0.3917 0.5167  4 W 2.53-2.71, 2 B 2.72, 2 Zr 2.76
7 W 0.6083 0.1250 0.9833  4 W 2.53-2.71, 2 B 2.72, 2 Zr 2.76
8 W 0.8750 0.8583 0.4833  4 W 2.53-2.71, 2 B 2.72, 2 Zr 2.76

No. 2
The following is a PBE-GGA calculation of a relaxed Zr2BW crystal, from Alexandria via LeMat-Bulk.

Calculated formation energy ... 0.4547 eV/atom
Size of the total moment ... 0.00 Bohr magnetons per cell
Space group ... I-42d (122)

abc: 5.9158 5.9158 5.9158
angles: 99.14 99.14 133.02
With the nearest neighbours (Å) after each atom.
Fractional coordinates of all 8 atoms:
1 Zr 0.0469 0.1250 0.4219  2 B 2.40, 2 Zr 2.64
2 Zr 0.3750 0.9531 0.0781  2 B 2.40, 2 Zr 2.64
3 Zr 0.7031 0.6250 0.5781  2 B 2.40, 2 Zr 2.64
4 Zr 0.8750 0.2969 0.9219  2 B 2.40, 2 Zr 2.64
5 B 0.0000 0.0000 0.0000  2 W 2.36, 4 Zr 2.40
6 B 0.7500 0.2500 0.5000  2 W 2.36, 4 Zr 2.40
7 W 0.2500 0.7500 0.5000  2 B 2.36
8 W 0.5000 0.5000 0.0000  2 B 2.36